First-principles (GGA+U) data for crystalline PaFe2AsO6 at its relaxed geometry, as listed in Alexandria via LeMat-Bulk.

Cell and atoms, written as CIF:
```
data_PaFe2AsO6
_chemical_formula_sum 'Pa2 Fe4 As2 O12'
_cell_length_a 5.576
_cell_length_b 5.561
_cell_length_c 9.867
_cell_angle_alpha 90.00
_cell_angle_beta 124.01
_cell_angle_gamma 90.00
_space_group_name_H-M_alt 'P 1 21/c 1'
_space_group_IT_number 14
loop_
_space_group_symop_operation_xyz
'x,y,z'
'-x,-y,-z'
'-x,y+1/2,-z+1/2'
'x,-y+1/2,z+1/2'
loop_
_atom_site_label
_atom_site_type_symbol
_atom_site_fract_x
_atom_site_fract_y
_atom_site_fract_z
Pa1 Pa 0.000 0.000 0.000
Fe1 Fe 0.244 0.030 0.759
As1 As 0.500 0.000 0.500
O1 O 0.123 0.107 0.253
O2 O 0.242 0.670 0.078
O3 O 0.406 0.171 0.068
```

Output
Its magnetization is 16.01 μB/cell. The uncorrected energy is -7.4591 eV/atom. The value obtained for the density of states at the Fermi level is 0.000 states/eV/atom.